# Mn2VPd2 (PBE, optimized geometry)
# Energy of formation from the pure elements = 150 meV/atom
# Relative energy among the computed polymorphs = 0.0 meV/atom
# E_tot = -74.19 eV/cell
data_Mn2VPd2
_chemical_formula_sum 'Mn4 V2 Pd4'
_space_group_name_H-M_alt 'P 4/m b m'
_space_group_IT_number 127
_space_group_name_Hall '-P 4 2ab'
_cell_length_a 5.965
_cell_length_b 5.965
_cell_length_c 3.919
_cell_angle_alpha 90.00
_cell_angle_beta 90.00
_cell_angle_gamma 90.00
loop_
_atom_site_label
_atom_site_type_symbol
_atom_site_fract_x
_atom_site_fract_y
_atom_site_fract_z
_atom_site_occupancy
Mn1 Mn 0.133 0.367 0.000 1
V1 V 0.000 0.000 0.000 1
Pd1 Pd 0.170 0.670 0.500 1